Record 1
Material: Tb2SeBr2
Method: DFT, GGA-PBE
State: optimized geometry

abc: 13.3729 5.7571 8.4886
angles: 90.00 113.89 90.00
Last column: nearest neighbours and their distance in Å.
Space group C2/m (No. 12)
One atom of each set of equivalent atoms:
Tb 0.0121 0.0000 0.2284  2 Se 2.72-2.73, 2 Br 2.94
Tb 0.1955 0.5000 0.5814  1 Se 2.72, 4 Br 2.94-3.01
Se 0.1608 0.0000 0.0831  3 Tb 2.72-2.73
Br 0.0175 0.5000 0.7316  4 Tb 2.94-3.12
Br 0.1626 0.0000 0.6102  5 Tb 2.94-3.15

Results
- E (eV/atom) = -4.626
- calculated volume (A^3/atom) = 29.88

Record 2
Material: La3AgHg2
Method: DFT, GGA-PBE
State: optimized geometry

abc: 5.4762 16.3698 3.9145
angles: 90.00 90.00 90.00
Last column: nearest neighbours and their distance in Å.
Space group Cmmm (No. 65)
One atom of each set of equivalent atoms:
La 0.0000 0.0000 0.0000  4 Ag 3.37, 4 Hg 3.39
La 0.0000 0.3372 0.0000  2 Ag 3.31, 6 Hg 3.37-3.38
Ag 0.0000 0.5000 0.5000  8 La 3.31-3.37
Hg 0.0000 0.1692 0.5000  8 La 3.37-3.39

Results
- E (eV/atom) = -3.459
- energy relative to the elements (eV/atom) = -0.42
- calculated volume (A^3/atom) = 29.24